This record from the Alexandria database describes an optimized crystal structure of Tl5CO6. The functional is PBE.

Cell: 7.068 7.068 6.338 Å, 96.03 96.03 127.00°
Positions (direct):
1 Tl 0.000 0.000 0.000
2 Tl 0.180 0.820 0.500
3 Tl 0.298 0.702 0.000
4 Tl 0.702 0.298 0.000
5 Tl 0.820 0.180 0.500
6 C 0.500 0.500 0.500
7 O 0.078 0.449 0.211
8 O 0.380 0.380 0.617
9 O 0.449 0.078 0.211
10 O 0.551 0.922 0.789
11 O 0.620 0.620 0.383
12 O 0.922 0.551 0.789

Formation energy without anion corrections = -0.644 eV per atom
SG = C2/m (12)